# CsSiTc2O8

A relaxed structure of CsSiTc2O8 (PBE, the Alexandria database).

a = 5.4605 Å, b = 5.4605 Å, c = 26.9885 Å
α = 90.00°, β = 90.00°, γ = 120.00°
Last column: nearest neighbours and their distance in Å.
Space group R-3m (No. 166, hexagonal axes)
Symmetry-distinct sites (fractional):
Cs (0.0000, 0.0000, 0.0000) [3 per cell]  6 O 3.33
Si (0.0000, 0.0000, 0.5000) [3 per cell]  6 O 1.78
Tc (0.0000, 0.0000, 0.2280) [6 per cell]  4 O 1.76-1.83
O (0.0000, 0.0000, 0.2931) [6 per cell]  1 Tc 1.76
O (0.0319, 0.5160, 0.1274) [18 per cell]  1 Si 1.78, 1 Tc 1.83

Values from the calculation:
- Formation energy (no corrections): -1.59 eV per atom